Compound: HoInFeSe3
Source: OQMD
Functional: GGA-PBE
Structure: relaxed

Values from the calculation:
Electronic total energy = -62.70 eV per cell

extended XYZ file:
```
12
Lattice="-3.1038 -4.6153 5.2115 -1.0937 -7.0579 2.6615 8.7585 0.9155 6.0270" Properties=species:S:1:pos:R:3 pbc="T T T"
Fe 0.2056 -5.2887 5.2281
Fe 4.3554 -5.4689 8.6719
Ho 0.0000 0.0000 0.0000
Ho 4.3792 0.4578 3.0135
In -0.9815 -8.5900 7.4547
In 5.5425 -2.1676 6.4453
Se -0.9599 -4.2912 3.3539
Se 1.8922 -0.5982 2.0646
Se 2.2075 -3.9601 5.5334
Se 2.3536 -6.7975 8.3665
Se 2.6688 -10.1594 11.8354
Se 5.5209 -6.4664 10.5460
```



Compound: Ho4InFe2Si4
Source: OQMD
Functional: GGA-PBE
Structure: relaxed

Values from the calculation:
Electronic total energy = -67.18 eV per cell

extended XYZ file:
```
11
Lattice="7.6066 -2.0652 0.0000 7.6066 2.0652 0.0000 -2.0318 0.0000 6.5703" Properties=species:S:1:pos:R:3 pbc="T T T"
Fe 11.1232 0.0000 2.4494
Fe 2.0581 0.0000 4.1209
Ho 5.1517 0.0000 0.3991
Ho 8.1849 0.0000 2.5276
Ho 4.9964 0.0000 4.0427
Ho 8.0296 0.0000 6.1712
In 0.0000 0.0000 0.0000
Si 2.6461 0.0000 1.8583
Si 13.4774 0.0000 2.2929
Si -0.2962 0.0000 4.2774
Si 10.5352 0.0000 4.7120
```



Compound: HoTmIn2Fe4
Source: OQMD
Functional: GGA-PBE
Structure: relaxed

Values from the calculation:
Electronic total energy = -49.62 eV per cell

extended XYZ file:
```
8
Lattice="3.9749 0.0000 0.0000 0.0000 5.0217 0.0000 0.0000 0.0000 7.2446" Properties=species:S:1:pos:R:3 pbc="T T T"
Fe 1.9875 1.2570 0.0029
Fe 1.9875 3.7647 0.0029
Fe 0.0000 0.0000 0.6091
Fe 0.0000 2.5108 6.6417
Ho 0.0000 0.0000 5.1387
In 1.9875 0.0000 2.5232
In 1.9875 2.5108 4.7177
Tm 0.0000 2.5108 2.0977
```



Compound: HoFeIr
Source: OQMD
Functional: GGA-PBE
Structure: relaxed

Values from the calculation:
Formation energy = 0.65 eV per atom

extended XYZ file:
```
3
Lattice="-2.4604 -2.5591 -2.7028 -4.0882 1.3171 -1.2084 -0.7772 1.2926 -4.1992" Properties=species:S:1:pos:R:3 pbc="T T T"
Fe -3.6629 0.0252 -4.0552
Ho -1.8314 0.0126 -2.0276
Ir 0.0000 0.0000 0.0000
```



Compound: HoFeIr
Source: OQMD
Functional: GGA-PBE
Structure: relaxed

Values from the calculation:
Formation energy = -0.05 eV per atom

extended XYZ file:
```
3
Lattice="3.4082 1.7918 2.2565 -0.7888 2.5972 3.5427 0.9760 -1.4638 4.1016" Properties=species:S:1:pos:R:3 pbc="T T T"
Fe 2.6966 2.1939 7.4256
Ho 0.8989 0.7313 2.4752
Ir 0.0000 0.0000 0.0000
```



Compound: HoFeSi2Ir
Source: OQMD
Functional: GGA-PBE
Structure: relaxed

Values from the calculation:
Electronic total energy = -37.09 eV per cell

extended XYZ file:
```
5
Lattice="-2.0115 2.0115 4.8517 2.0115 -2.0115 4.8517 2.0115 2.0115 -4.8517" Properties=species:S:1:pos:R:3 pbc="T T T"
Fe 0.0000 0.0000 0.0000
Ho 2.0115 0.0000 2.4259
Ir 0.0000 0.0000 4.8517
Si 0.0000 2.0115 1.2015
Si 0.0000 2.0115 3.6502
```



Compound: TbHo2FeSn3Ir2
Source: OQMD
Functional: GGA-PBE
Structure: relaxed

Values from the calculation:
Electronic total energy = -58.02 eV per cell

extended XYZ file:
```
9
Lattice="3.7485 0.0000 0.0000 0.0000 6.5861 3.7938 0.0000 -6.5861 3.7938" Properties=species:S:1:pos:R:3 pbc="T T T"
Fe 0.0000 0.0000 7.5830
Ho 0.0000 3.8999 2.2465
Ho 0.0000 -3.8999 2.2465
Ir 1.8742 2.2087 3.7970
Ir 1.8742 -2.2087 3.7970
Sn 1.8742 4.8872 4.7675
Sn 1.8742 0.0000 5.6364
Sn 1.8742 -4.8872 4.7675
Tb 0.0000 0.0000 3.0963
```



Compound: Ho2TmFeSn3Ir2
Source: OQMD
Functional: GGA-PBE
Structure: relaxed

Values from the calculation:
Electronic total energy = -57.92 eV per cell

extended XYZ file:
```
9
Lattice="3.7262 0.0000 0.0000 0.0000 6.5592 3.7939 0.0000 -6.5592 3.7939" Properties=species:S:1:pos:R:3 pbc="T T T"
Fe 0.0000 0.0000 7.5818
Ho 0.0000 2.6668 1.5425
Ho 0.0000 -2.6668 1.5425
Ir 1.8631 2.1721 3.7980
Ir 1.8631 -2.1721 3.7980
Sn 1.8631 0.0000 1.9542
Sn 1.8631 1.6851 6.6088
Sn 1.8631 -1.6851 6.6088
Tm 0.0000 0.0000 4.5042
```



Compound: KHoFe
Source: OQMD
Functional: GGA-PBE
Structure: relaxed

Values from the calculation:
Polymorph energy (0 for the lowest one) = 0.000 eV per atom

extended XYZ file:
```
3
Lattice="1.3184 -3.1956 3.7425 -3.2958 -1.0357 3.7445 -2.1562 -4.6066 0.2940" Properties=species:S:1:pos:R:3 pbc="T T T"
Fe -1.0334 -2.2095 1.9452
Ho 0.0000 0.0000 0.0000
K -3.1002 -6.6284 5.8357
```



Compound: KHoFeS3
Source: OQMD
Functional: GGA-PBE
Structure: relaxed

Values from the calculation:
Polymorph energy (0 for the lowest one) = 0.082 eV per atom

extended XYZ file:
```
24
Lattice="10.7319 0.0000 0.0000 0.0000 4.0829 0.0000 0.0000 0.0000 12.1381" Properties=species:S:1:pos:R:3 pbc="T T T"
Fe 7.9552 0.0000 2.5937
Fe 2.5893 0.0000 3.4754
Fe 8.1426 2.0414 8.6628
Fe 2.7767 2.0414 9.5445
Ho 5.1875 2.0414 2.1876
Ho 10.5534 2.0414 3.8815
Ho 0.1785 0.0000 8.2567
Ho 5.5444 0.0000 9.9506
K 1.8503 0.0000 0.0318
K 7.2162 0.0000 6.0373
K 3.5157 2.0414 6.1009
K 8.8816 2.0414 12.1064
S 6.4538 0.0000 0.8251
S 10.1602 0.0000 2.0605
S 2.3401 2.0414 2.3811
S 7.7061 2.0414 3.6880
S 4.7943 0.0000 4.0086
S 1.0879 0.0000 5.2440
S 9.6440 2.0414 6.8941
S 5.9376 2.0414 8.1295
S 3.0258 0.0000 8.4502
S 8.3918 0.0000 9.7570
S 0.5717 2.0414 10.0777
S 4.2781 2.0414 11.3131
```



Compound: KHoFeS3
Source: OQMD
Functional: GGA-PBE
Structure: relaxed

Values from the calculation:
Polymorph energy (0 for the lowest one) = 0.000 eV per atom

extended XYZ file:
```
12
Lattice="8.6894 0.0000 0.0000 0.0000 3.9195 0.0000 -2.8395 0.0000 8.8572" Properties=species:S:1:pos:R:3 pbc="T T T"
Fe 6.8743 2.9396 3.5952
Fe -1.0244 0.9799 5.2621
Ho 5.3887 0.9799 1.2919
Ho 0.4611 2.9396 7.5654
K 1.1525 0.9799 2.1199
K 4.6974 2.9396 6.7373
S 7.3069 2.9396 1.3563
S 3.5298 2.9396 1.3893
S 5.6265 0.9799 4.1081
S 0.2234 2.9396 4.7491
S 2.3200 0.9799 7.4679
S -1.4570 0.9799 7.5009
```



Compound: KHoFeS3
Source: OQMD
Functional: GGA-PBE
Structure: relaxed

Values from the calculation:
Polymorph energy (0 for the lowest one) = 0.015 eV per atom

extended XYZ file:
```
12
Lattice="-0.6812 -0.2393 -3.8863 -5.0521 -5.2712 -0.8001 -7.5309 7.0836 0.8837" Properties=species:S:1:pos:R:3 pbc="T T T"
Fe -6.9665 -3.2823 -2.5973
Fe -6.2976 4.8553 -1.2054
Ho 0.0000 0.0000 0.0000
Ho -3.7654 3.5418 0.4419
K -4.5126 -0.8519 -1.1668
K -8.7515 2.4249 -2.6359
S -4.7441 -3.6417 -2.9647
S -3.1387 0.9030 -3.5259
S -7.4868 -1.0618 -2.6428
S -5.7772 2.6349 -1.1599
S -10.1253 0.6700 -0.2768
S -8.5200 5.2147 -0.8380
```



Compound: KHoFeSe3
Source: OQMD
Functional: GGA-PBE
Structure: relaxed

Values from the calculation:
Polymorph energy (0 for the lowest one) = 0.000 eV per atom

extended XYZ file:
```
12
Lattice="-3.7194 -7.8168 2.7344 2.7228 -2.0612 -2.1886 6.9216 2.4257 6.3268" Properties=species:S:1:pos:R:3 pbc="T T T"
Fe 3.3049 -3.8902 2.1374
Fe 2.6202 -3.5621 4.7352
Ho 1.0549 -1.4864 0.8330
Ho 4.8701 -5.9658 6.0396
K -0.3062 -5.4880 2.9082
K 6.2313 -1.9643 3.9645
Se 1.6341 -4.2587 0.4058
Se -0.4093 -8.6362 1.9863
Se 2.8272 -1.6474 3.1896
Se 3.0978 -5.8049 3.6831
Se 6.3344 1.1840 4.8864
Se 4.2910 -3.1935 6.4668
```



Compound: KHoFeSe3
Source: OQMD
Functional: GGA-PBE
Structure: relaxed

Values from the calculation:
Polymorph energy (0 for the lowest one) = 0.019 eV per atom

extended XYZ file:
```
12
Lattice="4.1046 0.0000 0.0000 2.0523 7.4015 0.0000 0.0000 0.0000 10.7659" Properties=species:S:1:pos:R:3 pbc="T T T"
Fe 4.1046 6.9123 2.6915
Fe 2.0523 0.4891 8.0744
Ho 0.0000 0.0000 0.0000
Ho 0.0000 0.0000 5.3830
K 2.0523 3.6338 2.6915
K 4.1046 3.7676 8.0744
Se 4.1046 5.5408 0.7017
Se 4.1046 0.9570 2.6915
Se 4.1046 5.5408 4.6813
Se 2.0523 1.8606 6.0847
Se 2.0523 6.4445 8.0744
Se 2.0523 1.8606 10.0642
```



Compound: KHoFeSe3
Source: OQMD
Functional: GGA-PBE
Structure: relaxed

Values from the calculation:
Polymorph energy (0 for the lowest one) = 0.019 eV per atom

extended XYZ file:
```
24
Lattice="10.7906 0.0000 0.0000 0.0000 4.1117 0.0000 0.0000 0.0000 14.6676" Properties=species:S:1:pos:R:3 pbc="T T T"
Fe 8.1821 0.0000 3.1953
Fe 2.7868 0.0000 4.1385
Fe 8.0038 2.0558 10.5290
Fe 2.6085 2.0558 11.4723
Ho 5.4913 2.0558 3.5961
Ho 0.0960 2.0558 3.7377
Ho 10.6946 0.0000 10.9298
Ho 5.2993 0.0000 11.0715
K 2.4957 0.0000 0.0564
K 7.8910 0.0000 7.2773
K 2.8995 2.0558 7.3902
K 8.2948 2.0558 14.6111
Se 6.2325 0.0000 1.7662
Se 10.2071 0.0000 1.8734
Se 2.7740 2.0558 2.7029
Se 8.1693 2.0558 4.6309
Se 4.8118 0.0000 5.4603
Se 0.8372 0.0000 5.5675
Se 9.9534 2.0558 9.1000
Se 5.9788 2.0558 9.2072
Se 2.6213 0.0000 10.0366
Se 8.0166 0.0000 11.9647
Se 0.5835 2.0558 12.7941
Se 4.5581 2.0558 12.9013
```



Compound: KHoFeTe3
Source: OQMD
Functional: GGA-PBE
Structure: relaxed

Values from the calculation:
Polymorph energy (0 for the lowest one) = 0.021 eV per atom

extended XYZ file:
```
24
Lattice="-0.7096 -11.4460 -0.1255 3.9276 -0.2636 1.8337 -6.6910 0.2573 14.3685" Properties=species:S:1:pos:R:3 pbc="T T T"
Fe 0.9630 -8.5670 4.4189
Fe 0.8930 -2.8277 5.3939
Fe -4.3660 -8.6246 10.6828
Fe -4.4360 -2.8852 11.6578
Ho -1.3590 -11.2444 3.8656
Ho -1.0618 -5.5192 4.0518
Ho -2.4112 -5.9331 12.0249
Ho -2.1140 -0.2079 12.2112
K 2.7511 -3.3221 1.3429
K -0.9474 -8.9166 8.4607
K -2.5256 -2.5357 7.6161
K -6.2241 -8.1301 14.7338
Te 1.5075 -10.6777 2.9493
Te 1.7169 -6.4237 3.1124
Te -0.3951 -2.7028 3.0288
Te -1.6741 -8.3903 4.9507
Te 0.4079 -0.6367 6.7480
Te 0.0900 -4.8865 6.8178
Te -3.5630 -6.5658 9.2589
Te -3.8809 -10.8156 9.3288
Te -1.7989 -3.0620 11.1260
Te -3.0779 -8.7495 13.0479
Te -5.1899 -5.0286 12.9643
Te -4.9805 -0.7746 13.1274
```



Compound: KHoFeTe3
Source: OQMD
Functional: GGA-PBE
Structure: relaxed

Values from the calculation:
Polymorph energy (0 for the lowest one) = 0.089 eV per atom

extended XYZ file:
```
24
Lattice="-8.9979 -4.6891 -3.4727 1.3658 -3.8709 1.6878 -7.2839 3.5619 14.0634" Properties=species:S:1:pos:R:3 pbc="T T T"
Fe -7.5396 -6.4264 0.1159
Fe -4.8220 -3.2108 5.2915
Fe -10.0940 -1.7873 6.9870
Fe -7.3763 1.4284 12.1626
Ho -0.8775 -3.4883 1.4630
Ho -8.2146 -4.4450 5.2063
Ho -6.7014 -0.5530 7.0722
Ho -14.0384 -1.5097 10.8155
K -5.8809 -2.9129 0.9962
K -2.4550 -0.0436 4.8042
K -12.4610 -4.9544 7.4743
K -9.0351 -2.0851 11.2823
Te -5.1329 -5.9819 -0.8122
Te -9.2921 -5.1778 -1.4378
Te -3.1554 -3.4576 3.3767
Te -8.0814 -5.5933 2.4648
Te -6.8309 -1.8368 4.2328
Te -4.0184 -1.9823 7.4586
Te -10.8975 -3.0158 4.8199
Te -8.0851 -3.1612 8.0457
Te -6.8345 0.5953 9.8137
Te -11.7605 -1.5404 8.9019
Te -5.6239 0.1798 13.7163
Te -9.7831 0.9838 13.0908
```



Compound: KHoFeTe3
Source: OQMD
Functional: GGA-PBE
Structure: relaxed

Values from the calculation:
Polymorph energy (0 for the lowest one) = 0.186 eV per atom

extended XYZ file:
```
12
Lattice="-4.2076 7.1716 -4.9098 -3.6436 3.9952 -8.0002 -7.2449 -4.6557 3.4631" Properties=species:S:1:pos:R:3 pbc="T T T"
Fe -5.6037 4.6993 -5.8525
Fe -9.4924 1.8118 -3.5943
Ho -1.9370 1.5246 -1.9204
Ho -13.1591 4.9865 -7.5264
K -9.8592 7.5461 -9.5551
K -5.2368 -1.0351 0.1083
Te 0.0000 0.0000 0.0000
Te -3.7155 3.1055 -3.8699
Te -7.3498 6.0144 -7.5229
Te -7.5480 3.2555 -4.7234
Te -7.7462 0.4966 -1.9239
Te -11.3806 3.4055 -5.5770
```



Compound: KHoFeTe3
Source: OQMD
Functional: GGA-PBE
Structure: relaxed

Values from the calculation:
Polymorph energy (0 for the lowest one) = 0.021 eV per atom

extended XYZ file:
```
12
Lattice="7.9503 -2.1730 0.0000 7.9503 2.1730 0.0000 0.0000 0.0000 11.4043" Properties=species:S:1:pos:R:3 pbc="T T T"
Fe 7.4642 0.0000 2.8511
Fe 8.4363 0.0000 8.5532
Ho 0.0000 0.0000 0.0000
Ho 0.0000 0.0000 5.7021
K 11.9466 0.0000 2.8511
K 3.9539 0.0000 8.5532
Te 5.9208 0.0000 0.7353
Te 1.1198 0.0000 2.8511
Te 5.9208 0.0000 4.9668
Te 9.9797 0.0000 6.4374
Te 14.7807 0.0000 8.5532
Te 9.9797 0.0000 10.6690
```



Compound: KHoFeTe3
Source: OQMD
Functional: GGA-PBE
Structure: relaxed

Values from the calculation:
Polymorph energy (0 for the lowest one) = 0.022 eV per atom

extended XYZ file:
```
24
Lattice="-4.3318 0.3900 -0.3456 0.4018 -4.7602 -10.4077 -1.7900 -14.1899 6.4210" Properties=species:S:1:pos:R:3 pbc="T T T"
Fe -3.3339 -6.4127 -6.7594
Fe -3.6497 -4.9431 -1.1435
Fe -2.0703 -13.6170 -3.1888
Fe -2.3860 -12.1474 2.4270
Ho -1.3194 -5.8368 -3.8203
Ho -1.5318 -3.5481 1.4249
Ho -4.1882 -15.0120 -5.7573
Ho -4.4006 -12.7232 -0.5120
K -0.7764 -3.5512 -8.0456
K -1.8706 -8.2521 0.3625
K -3.8494 -10.3079 -4.6948
K -4.9435 -15.0089 3.7132
Te -3.2288 -4.1209 -5.4911
Te -3.0892 -5.9708 -9.3283
Te -1.3027 -3.7050 -1.6238
Te -1.3489 -8.0442 -5.9411
Te -3.7429 -7.1803 -2.5001
Te -3.9023 -5.4877 1.4082
Te -1.8176 -13.0724 -5.7406
Te -1.9771 -11.3797 -1.8323
Te -4.3710 -10.5158 1.6087
Te -4.4173 -14.8550 -2.7086
Te -2.6308 -12.5892 4.9959
Te -2.4912 -14.4391 1.1588
```